# 1
TbTm7Sc2 | PBE-GGA | optimized geometry

Cell lengths 5.971, 7.722, 8.450 Å; angles 111.40, 118.14, 58.82 degrees
Element x y z (fractional)
Tm 0.205 0.401 0.204
Sc 0.402 0.802 0.401
Tm 0.500 0.500 0.000
Tm 0.795 0.599 0.796
Tm 0.097 0.701 0.598
Tm 0.298 0.099 0.796
Tm 0.903 0.299 0.402
Sc 0.598 0.198 0.599
Tb 0.000 0.000 0.000
Tm 0.702 0.901 0.204

energy relative to the lowest polymorph listed for this composition = 0.000 eV per atom
calculated formation energy = 0.041 eV per atom
N(E_F) = 15.36 states/eV per cell
total DFT energy (no corrections) = -48.182 eV for the cell shown



# 2
TbTm3Sc3 | PBE-GGA | optimized geometry

Cell lengths 5.892, 5.892, 14.026 Å; angles 77.89, 77.86, 59.98 degrees
Element x y z (fractional)
Sc 0.532 0.197 0.407
Tm 0.404 0.070 0.789
Sc 0.864 0.532 0.407
Tb 0.667 0.667 0.000
Tm 0.930 0.264 0.211
Tm 0.736 0.404 0.789
Sc 0.468 0.803 0.593
Sc 0.803 0.136 0.593
Sc 0.136 0.468 0.593
Tm 0.070 0.736 0.789
Tm 0.264 0.596 0.211
Sc 0.197 0.864 0.407
Tm 0.596 0.930 0.211
Tb 0.333 0.333 0.000

energy relative to the lowest polymorph listed for this composition = 0.134 eV per atom
calculated formation energy = 0.154 eV per atom
N(E_F) = 22.81 states/eV per cell
total DFT energy (no corrections) = -71.920 eV for the cell shown



# 3
TbTmSc6 | PBE-GGA | optimized geometry

Cell lengths 5.285, 6.766, 6.766 Å; angles 120.00, 90.00, 90.00 degrees
Element x y z (fractional)
Tm 0.500 0.417 0.583
Sc 0.500 0.913 0.087
Sc 0.000 0.586 0.414
Tb 0.000 0.083 0.917
Sc 0.000 0.077 0.414
Sc 0.000 0.586 0.923
Sc 0.500 0.423 0.087
Sc 0.500 0.913 0.577

energy relative to the lowest polymorph listed for this composition = 0.000 eV per atom
calculated formation energy = 0.017 eV per atom
N(E_F) = 15.25 states/eV per cell
total DFT energy (no corrections) = -46.959 eV for the cell shown



# 4
TbTmSc2 | PBE-GGA | optimized geometry

Cell lengths 4.688, 4.853, 4.853 Å; angles 90.00, 90.00, 90.00 degrees
Element x y z (fractional)
Sc 0.000 0.500 0.000
Sc 0.000 0.000 0.500
Tb 0.500 0.500 0.500
Tm 0.500 0.000 0.000

energy relative to the lowest polymorph listed for this composition = 0.000 eV per atom
calculated formation energy = 0.052 eV per atom
N(E_F) = 7.14 states/eV per cell
total DFT energy (no corrections) = -21.555 eV for the cell shown



# 5
Tb3Tm5Sc2 | PBE-GGA | optimized geometry

Cell lengths 9.151, 9.157, 9.172 Å; angles 106.58, 106.54, 115.40 degrees
Element x y z (fractional)
Tb 0.824 0.273 0.850
Tb 0.579 0.527 0.350
Tb 0.421 0.473 0.650
Tm 0.371 0.121 0.749
Sc 0.327 0.777 0.851
Tm 0.273 0.425 0.948
Sc 0.927 0.976 0.647
Tm 0.629 0.879 0.251
Tm 0.122 0.373 0.251
Sc 0.073 0.024 0.353
Tm 0.524 0.175 0.449
Tm 0.476 0.825 0.551
Tm 0.974 0.323 0.548
Tm 0.878 0.627 0.749
Tm 0.026 0.677 0.452
Tm 0.727 0.575 0.052
Tb 0.226 0.074 0.048
Tb 0.774 0.926 0.952
Tb 0.176 0.727 0.150
Sc 0.673 0.223 0.149

energy relative to the lowest polymorph listed for this composition = 0.000 eV per atom
calculated formation energy = 0.040 eV per atom
N(E_F) = 29.31 states/eV per cell
total DFT energy (no corrections) = -97.026 eV for the cell shown



# 6
Tb3Tm4Sc2 | PBE-GGA | optimized geometry

Cell lengths 6.605, 11.382, 11.382 Å; angles 50.78, 57.97, 57.97 degrees
Element x y z (fractional)
Sc 0.445 0.122 0.547
Tm 0.025 0.813 0.565
Sc 0.055 0.453 0.878
Tm 0.525 0.565 0.813
Tb 0.935 0.104 0.199
Tb 0.065 0.896 0.801
Sc 0.555 0.878 0.453
Tb 0.750 0.487 0.513
Tm 0.475 0.435 0.187
Tm 0.482 0.834 0.199
Tb 0.565 0.801 0.896
Tm 0.982 0.199 0.834
Tm 0.518 0.166 0.801
Tb 0.250 0.513 0.487
Tm 0.975 0.187 0.435
Tm 0.018 0.801 0.166
Sc 0.945 0.547 0.122
Tb 0.435 0.199 0.104

energy relative to the lowest polymorph listed for this composition = 0.000 eV per atom
calculated formation energy = 0.100 eV per atom
N(E_F) = 25.90 states/eV per cell
total DFT energy (no corrections) = -87.073 eV for the cell shown